No. 1
## HPdN (PBE)

Data for a relaxed HPdN crystal.

abc: 3.1911 3.1911 7.4254
angles: 91.74 91.74 54.35
Closest atoms and distances in Å follow each position.
Sites, in units of the cell vectors:
H (0.0000, 0.0000, 0.0000)  1 N 1.04
H (0.6976, 0.6976, 0.8056)  1 N 1.04
Pd (0.6843, 0.6843, 0.2702)  3 N 2.02-2.07
Pd (0.9872, 0.9872, 0.5757)  2 N 2.02
N (0.0010, 0.0010, 0.1404)  1 H 1.04
N (0.5218, 0.5218, 0.7629)  1 H 1.04

E_tot, eV/cell: -30.98
Space-group type: Cm (8)

---

No. 2
## HPdN3 (PBE)

Data for a relaxed HPdN3 crystal.

abc: 3.8897 3.8897 3.8897
angles: 90.00 90.00 90.00
Closest atoms and distances in Å follow each position.
Sites, in units of the cell vectors:
H (0.0000, 0.0000, 0.0000)  12 N 2.75
Pd (0.5000, 0.5000, 0.5000)  6 N 1.94
N (0.0000, 0.5000, 0.5000)  2 Pd 1.94
N (0.5000, 0.0000, 0.5000)  2 Pd 1.94
N (0.5000, 0.5000, 0.0000)  2 Pd 1.94

E_tot, eV/cell: -19.34
Space-group type: Pm-3m (221)

---

No. 3
## HPdSN2 (PBE)

Data for a relaxed HPdSN2 crystal.

abc: 3.9381 3.9381 5.0812
angles: 90.00 90.00 90.00
Closest atoms and distances in Å follow each position.
Sites, in units of the cell vectors:
H (0.0000, 0.0000, 0.0000)  4 S 2.78
Pd (0.5000, 0.5000, 0.5000)  4 N 1.97
S (0.5000, 0.5000, 0.0000)  2 Pd 2.54, 4 H 2.78
N (0.0000, 0.5000, 0.5000)  2 Pd 1.97
N (0.5000, 0.0000, 0.5000)  2 Pd 1.97

E_tot, eV/cell: -19.42
Space-group type: P4/mmm (123)

---

No. 4
## HPdSN2 (PBE)

Data for a relaxed HPdSN2 crystal.

abc: 3.8843 3.8843 3.1120
angles: 90.00 90.00 90.00
Closest atoms and distances in Å follow each position.
Sites, in units of the cell vectors:
H (0.0000, 0.0000, 0.0000)  2 S 1.56
Pd (0.5000, 0.5000, 0.5000)  8 N 2.49, 4 S 2.75
S (0.0000, 0.0000, 0.5000)  2 H 1.56
N (0.0000, 0.5000, 0.0000)  2 H 1.94
N (0.5000, 0.0000, 0.0000)  2 H 1.94

E_tot, eV/cell: -19.66
Space-group type: P4/mmm (123)

---

No. 5
## HPdSe2N (PBE)

Data for a relaxed HPdSe2N crystal.

abc: 5.2489 5.2489 3.6495
angles: 90.00 90.00 90.00
Closest atoms and distances in Å follow each position.
Sites, in units of the cell vectors:
H (0.0000, 0.0000, 0.0000)  8 Se 3.20
Pd (0.5000, 0.5000, 0.5000)  2 N 1.82
Se (0.0000, 0.5000, 0.5000)  2 Pd 2.62
Se (0.5000, 0.0000, 0.5000)  2 Pd 2.62
N (0.5000, 0.5000, 0.0000)  2 Pd 1.82

E_tot, eV/cell: -17.19
Space-group type: P4/mmm (123)

---

No. 6
## HPdSe2N (PBE)

Data for a relaxed HPdSe2N crystal.

abc: 4.9006 4.9006 2.7161
angles: 90.00 90.00 90.00
Closest atoms and distances in Å follow each position.
Sites, in units of the cell vectors:
H (0.0000, 0.0000, 0.0000)  2 N 1.36
Pd (0.5000, 0.5000, 0.5000)  2 Pd 2.72, 8 Se 2.80
Se (0.0000, 0.5000, 0.0000)  2 H 2.45, 2 Se 2.72
Se (0.5000, 0.0000, 0.0000)  2 H 2.45, 2 Se 2.72
N (0.0000, 0.0000, 0.5000)  2 H 1.36

E_tot, eV/cell: -19.39
Space-group type: P4/mmm (123)

---

No. 7
## HPd2SeN (PBE)

Data for a relaxed HPd2SeN crystal.

abc: 4.7925 4.7925 3.7308
angles: 90.00 90.00 90.00
Closest atoms and distances in Å follow each position.
Sites, in units of the cell vectors:
H (0.0000, 0.0000, 0.0000)  8 Pd 3.04, 4 N 3.39
Pd (0.0000, 0.5000, 0.5000)  2 Se 2.40
Pd (0.5000, 0.0000, 0.5000)  2 Se 2.40
Se (0.5000, 0.5000, 0.5000)  2 N 1.87
N (0.5000, 0.5000, 0.0000)  2 Se 1.87

E_tot, eV/cell: -19.11
Space-group type: P4/mmm (123)

---

No. 8
## Ta2HPdN (PBE)

Data for a relaxed Ta2HPdN crystal.

abc: 4.2292 4.2292 3.4415
angles: 90.00 90.00 90.00
Closest atoms and distances in Å follow each position.
Sites, in units of the cell vectors:
Ta (0.0000, 0.5000, 0.0000)  2 H 2.11
Ta (0.5000, 0.0000, 0.0000)  2 H 2.11
H (0.0000, 0.0000, 0.0000)  2 Pd 1.72
Pd (0.0000, 0.0000, 0.5000)  2 H 1.72
N (0.5000, 0.5000, 0.5000)  8 Ta 2.73, 4 Pd 2.99

E_tot, eV/cell: -37.52
Space-group type: P4/mmm (123)

---

No. 9
## TcHPdN2 (PBE)

Data for a relaxed TcHPdN2 crystal.

abc: 3.8673 3.8673 3.0623
angles: 90.00 90.00 90.00
Closest atoms and distances in Å follow each position.
Sites, in units of the cell vectors:
Tc (0.0000, 0.0000, 0.0000)  8 N 2.47, 4 Pd 2.73
H (0.5000, 0.5000, 0.5000)  2 Pd 1.53
Pd (0.5000, 0.5000, 0.0000)  2 H 1.53
N (0.0000, 0.5000, 0.5000)  2 H 1.93
N (0.5000, 0.0000, 0.5000)  2 H 1.93

E_tot, eV/cell: -28.22
Space-group type: P4/mmm (123)

---

No. 10
## HPdWN2 (PBE)

Data for a relaxed HPdWN2 crystal.

abc: 3.8279 3.8279 5.4059
angles: 90.00 90.00 90.00
Closest atoms and distances in Å follow each position.
Sites, in units of the cell vectors:
H (0.0000, 0.0000, 0.0000)  4 Pd 2.71
Pd (0.5000, 0.5000, 0.0000)  2 W 2.70, 4 H 2.71
W (0.5000, 0.5000, 0.5000)  4 N 1.91
N (0.0000, 0.5000, 0.5000)  2 W 1.91
N (0.5000, 0.0000, 0.5000)  2 W 1.91

E_tot, eV/cell: -32.97
Space-group type: P4/mmm (123)

---

No. 11
## Pm5HN4 (PBE)

Data for a relaxed Pm5HN4 crystal.

abc: 12.8815 12.8815 12.8815
angles: 163.79 163.79 23.01
Closest atoms and distances in Å follow each position.
Sites, in units of the cell vectors:
Pm (0.0000, 0.0000, 0.0000)  2 N 2.45, 4 H 2.57
Pm (0.2008, 0.2008, 0.0000)  6 N 2.55-2.62
Pm (0.3967, 0.3967, 0.0000)  5 N 2.40-2.57, 1 H 2.61
Pm (0.6033, 0.6033, 0.0000)  5 N 2.40-2.57, 1 H 2.61
Pm (0.7992, 0.7992, 0.0000)  6 N 2.55-2.62
H (0.5000, 0.5000, 0.0000)  6 Pm 2.57-2.61
N (0.0969, 0.0969, 0.0000)  6 Pm 2.45-2.62
N (0.3017, 0.3017, 0.0000)  6 Pm 2.40-2.57
N (0.6983, 0.6983, 0.0000)  6 Pm 2.40-2.57
N (0.9031, 0.9031, 0.0000)  6 Pm 2.45-2.62

E_tot, eV/cell: -72.70
Space-group type: I4/mmm (139)

---

No. 12
## Pm2H3N (PBE)

Data for a relaxed Pm2H3N crystal.

abc: 5.5132 5.5132 5.5132
angles: 90.00 90.00 90.00
Closest atoms and distances in Å follow each position.
Sites, in units of the cell vectors:
Pm (0.0000, 0.0000, 0.0000)  2 N 2.39, 6 H 2.39
Pm (0.0000, 0.5000, 0.5000)  6 H 2.39, 2 N 2.39
Pm (0.5000, 0.0000, 0.5000)  6 H 2.39, 2 N 2.39
Pm (0.5000, 0.5000, 0.0000)  6 H 2.39, 2 N 2.39
H (0.2500, 0.2500, 0.7500)  4 Pm 2.39
H (0.2500, 0.7500, 0.2500)  4 Pm 2.39
H (0.2500, 0.7500, 0.7500)  4 Pm 2.39
H (0.7500, 0.2500, 0.2500)  4 Pm 2.39
H (0.7500, 0.2500, 0.7500)  4 Pm 2.39
H (0.7500, 0.7500, 0.2500)  4 Pm 2.39
N (0.2500, 0.2500, 0.2500)  4 Pm 2.39
N (0.7500, 0.7500, 0.7500)  4 Pm 2.39

E_tot, eV/cell: -64.76
Space-group type: Pn-3m (224)

---

Which of these has the lowest E_tot?
Pm5HN4

---

E_tot of number 5 (HPdSe2N)?
-17.19 eV/cell

---

Which value of E_tot does entry 11 give?
-72.70 eV/cell